[1]
The following is a DFT calculation (PBE-GGA) of a relaxed NaCa2SiPt crystal.

Structure (POSCAR):
```
NaCa2SiPt
1.0
5.703 0.000 0.000
0.000 5.703 0.000
0.000 0.000 4.595
Na Ca Si Pt
1 2 1 1
Direct
0.000 0.000 0.000
0.000 0.500 0.500
0.500 0.000 0.500
0.500 0.500 0.000
0.500 0.500 0.500
```

Output
symmetry: P4/mmm (123)
E_tot: -0.2777 Ry per atom
formation energy from raw total energies: -40.7 kJ per mole of atoms

[2]
The following is a DFT calculation (PBE-GGA) of a relaxed NaCa2SnPt crystal.

Structure (POSCAR):
```
NaCa2SnPt
1.0
5.663 0.000 0.000
0.000 5.663 0.000
0.000 0.000 5.114
Na Ca Sn Pt
1 2 1 1
Direct
0.000 0.000 0.000
0.000 0.500 0.500
0.500 0.000 0.500
0.500 0.500 0.000
0.500 0.500 0.500
```

Output
DFT formation energy: -0.456 eV/atom
symmetry: P4/mmm (123)
E_tot: -0.2594 Ry per atom

[3]
The following is a DFT calculation (PBE-GGA) of a relaxed NaSrCa2Pt crystal.

Structure (POSCAR):
```
NaSrCa2Pt
1.0
5.593 0.000 0.000
0.000 5.593 0.000
0.000 0.000 5.904
Na Sr Ca Pt
1 1 2 1
Direct
0.000 0.000 0.000
0.500 0.500 0.000
0.000 0.500 0.500
0.500 0.000 0.500
0.000 0.000 0.500
```

Output
DFT formation energy: -0.285 eV/atom
symmetry: P4/mmm (123)
energy above the lowest structure with this stoichiometry: 0.804 eV/f.u.
E_tot: -0.2127 Ry per atom

[4]
The following is a DFT calculation (PBE-GGA) of a relaxed NaSrCa2Pt crystal.

Structure (POSCAR):
```
NaSrCa2Pt
1.0
5.675 0.000 0.000
0.000 5.675 0.000
0.000 0.000 5.974
Na Sr Ca Pt
1 1 2 1
Direct
0.000 0.000 0.000
0.500 0.500 0.000
0.000 0.500 0.500
0.500 0.000 0.500
0.500 0.500 0.500
```

Output
DFT formation energy: -0.445 eV/atom
symmetry: P4/mmm (123)
energy above the lowest structure with this stoichiometry: 0.000 eV/f.u.
E_tot: -0.2245 Ry per atom

no.,calculated volume (A^3/atom)
1,29.88
2,32.79
3,36.94
4,38.48